Ga2PW, relaxed, DFT PBE; volume = 133 Å³ per cell; crystal system = tetragonal; energy relative to the elements = 0.555 eV per atom; calculated density = 8.86 g/cm³; total moment = 0.00 μB per formula unit
1.0
-3.6497 3.6497 2.4921
3.6497 -3.6497 2.4921
3.6497 3.6497 -2.4921
Ga P W
4 2 2
Direct
0.1105 0.6250 0.9855
0.3750 0.3605 0.4855
0.6395 0.1250 0.0145
0.8750 0.8895 0.5145
0.0000 0.0000 0.0000
0.7500 0.2500 0.5000
0.2500 0.7500 0.5000
0.5000 0.5000 0.0000

RbNaCa2Au, relaxed, DFT PBE; volume = 227 Å³ per cell; crystal system = tetragonal; energy relative to the elements = -0.156 eV per atom; calculated density = 2.83 g/cm³; energy above the most stable polymorph in this dataset = 42.5 meV/atom; total moment = 0.00 μB per formula unit
1.0
5.8360 0.0000 0.0000
0.0000 5.8360 0.0000
0.0000 0.0000 6.6536
Rb Na Ca Au
1 1 2 1
Direct
0.0000 0.0000 0.0000
0.5000 0.5000 0.0000
0.0000 0.5000 0.5000
0.5000 0.0000 0.5000
0.0000 0.0000 0.5000

TcOs, relaxed, DFT PBE; volume = 58 Å³ per cell; crystal system = monoclinic; energy relative to the elements = -0.082 eV per atom; calculated density = 16.63 g/cm³; energy above the most stable polymorph in this dataset = 3.1 meV/atom; total moment = 0.00 μB per formula unit
1.0
4.9726 -1.3760 0.0000
4.9726 1.3760 0.0000
-2.3000 0.0000 4.2057
Tc Os
2 2
Direct
0.1235 0.1235 0.4591
0.8765 0.8765 0.5409
0.3741 0.3741 0.0382
0.6259 0.6259 0.9618

LiErNiAg, relaxed, DFT PBE; volume = 69 Å³ per cell; crystal system = cubic; energy relative to the elements = -0.167 eV per atom; calculated density = 8.22 g/cm³; total moment = 0.00 μB per formula unit
1.0
0.0000 3.2532 3.2532
3.2532 0.0000 3.2532
3.2532 3.2532 0.0000
Li Er Ni Ag
1 1 1 1
Direct
0.0000 0.0000 0.0000
0.2500 0.2500 0.2500
0.5000 0.5000 0.5000
0.7500 0.7500 0.7500